## Sb2AsS (GGA-PBEsol)

Data for a relaxed Sb2AsS crystal.

Lattice parameters (Å, degrees): 6.943 6.943 6.943 90.00 90.00 90.00
Space group Fm-3m (No. 225)
Unique sites:
Sb  0.250  0.250  0.250 (multiplicity 8)
As  0.000  0.000  0.000 (multiplicity 4)
S  0.000  0.000  0.500 (multiplicity 4)

Calculated values
- energy (eV/cell) = -72.2
- total magnetization (μB/f.u.) = 0.0
- uncorrected formation energy (eV per atom) = 0.138
- N(E_F) (states/eV per atom) = 0.476

## YHfCu2W (GGA-PBEsol)

Data for a relaxed YHfCu2W crystal.

Lattice parameters (Å, degrees): 4.738 4.738 4.764 90.00 90.00 90.00
Space group P4/mmm (No. 123)
Unique sites:
Y  0.000  0.000  0.000 (multiplicity 1)
Hf  0.500  0.500  0.500 (multiplicity 1)
Cu  0.000  0.500  0.500 (multiplicity 2)
W  0.500  0.500  0.000 (multiplicity 1)

Calculated values
- energy (eV/cell) = -34.2
- E_form (meV per atom) = 1130
- total magnetization (μB/f.u.) = 0.0
- N(E_F) (states/eV per atom) = 0.725

## Be2CuRh2 (GGA-PBEsol)

Data for a relaxed Be2CuRh2 crystal.

Lattice parameters (Å, degrees): 6.024 6.024 2.927 90.00 90.00 90.00
Space group P4/mbm (No. 127)
Unique sites:
Be  0.128  0.372  0.000 (multiplicity 4)
Cu  0.000  0.000  0.000 (multiplicity 2)
Rh  0.169  0.669  0.500 (multiplicity 4)

Calculated values
- energy (eV/cell) = -61.7
- E_form (meV per atom) = -444
- total magnetization (μB/f.u.) = 0.0
- N(E_F) (states/eV per atom) = 0.331

## LiSc2Pt2 (GGA-PBEsol)

Data for a relaxed LiSc2Pt2 crystal.

Lattice parameters (Å, degrees): 7.375 7.375 3.359 90.00 90.00 90.00
Space group P4/mbm (No. 127)
Unique sites:
Li  0.000  0.000  0.000 (multiplicity 2)
Sc  0.158  0.342  0.500 (multiplicity 4)
Pt  0.139  0.639  0.000 (multiplicity 4)

Calculated values
- energy (eV/cell) = -67.3
- E_form (meV per atom) = -911
- total magnetization (μB/f.u.) = 0.0
- N(E_F) (states/eV per atom) = 0.648

## CoAsSe4 (GGA-PBEsol)

Data for a relaxed CoAsSe4 crystal.

Lattice parameters (Å, degrees): 7.782 7.782 7.782 90.00 90.00 90.00
Space group F-43m (No. 216)
Unique sites:
Co  0.000  0.000  0.000 (multiplicity 4)
As  0.250  0.250  0.750 (multiplicity 4)
Se  0.126  0.126  0.374 (multiplicity 16)

Calculated values
- energy (eV/cell) = -88.8
- total magnetization (μB/f.u.) = 2.1
- uncorrected formation energy (eV per atom) = 1.009
- N(E_F) (states/eV per atom) = 1.603

## OsRu3 (GGA-PBEsol)

Data for a relaxed OsRu3 crystal.

Lattice parameters (Å, degrees): 8.861 2.675 4.629 90.00 100.06 90.00
Space group C2/m (No. 12)
Unique sites:
Os  0.000  0.000  0.000 (multiplicity 2)
Ru  0.000  0.500  0.500 (multiplicity 2)
Ru  0.250  0.000  0.750 (multiplicity 4)

Calculated values
- energy (eV/cell) = -84.5
- E_form (meV per atom) = 115
- total magnetization (μB/f.u.) = 0.0
- N(E_F) (states/eV per atom) = 0.985

## IrPbW2Cl (GGA-PBEsol)

Data for a relaxed IrPbW2Cl crystal.

Lattice parameters (Å, degrees): 4.469 4.469 4.456 90.00 90.00 90.00
Space group P4/mmm (No. 123)
Unique sites:
Ir  0.000  0.000  0.000 (multiplicity 1)
Pb  0.500  0.500  0.000 (multiplicity 1)
W  0.000  0.500  0.500 (multiplicity 2)
Cl  0.000  0.000  0.500 (multiplicity 1)

Calculated values
- energy (eV/cell) = -35.5
- total magnetization (μB/f.u.) = 0.0
- uncorrected formation energy (eV per atom) = 1.597
- N(E_F) (states/eV per atom) = 0.923

## SiOs2Br (GGA-PBEsol)

Data for a relaxed SiOs2Br crystal.

Lattice parameters (Å, degrees): 10.187 2.869 4.178 90.00 97.60 90.00
Space group Cm (No. 8)
Unique sites:
Si  0.000  0.000  0.000 (multiplicity 2)
Os  0.063  0.500  0.558 (multiplicity 2)
Os  0.301  0.000  0.781 (multiplicity 2)
Br  0.265  0.500  0.285 (multiplicity 2)

Calculated values
- energy (eV/cell) = -58.3
- total magnetization (μB/f.u.) = 0.0
- uncorrected formation energy (eV per atom) = 0.729
- N(E_F) (states/eV per atom) = 0.565
- excess energy over the best structure of this formula in the dataset (meV per atom) = 276

## In2NiW (GGA-PBEsol)

Data for a relaxed In2NiW crystal.

Lattice parameters (Å, degrees): 2.9554 2.9554 27.5716 90.00 90.00 120.00
Space group R3m (No. 160, hexagonal axes)
Unique sites:
In  0.0000  0.0000  0.0000 (multiplicity 3)
In  0.0000  0.0000  0.2327 (multiplicity 3)
Ni  0.0000  0.0000  0.7433 (multiplicity 3)
W  0.0000  0.0000  0.4785 (multiplicity 3)

Calculated values
- energy (eV/cell) = -73.7
- E_form (meV per atom) = 340
- total magnetization (μB/f.u.) = 0.0
- N(E_F) (states/eV per atom) = 0.791
- excess energy over the best structure of this formula in the dataset (meV per atom) = 0

## V3FeH (GGA-PBEsol)

Data for a relaxed V3FeH crystal.

Lattice parameters (Å, degrees): 3.721 3.721 3.721 90.00 90.00 90.00
Space group Pm-3m (No. 221)
Unique sites:
V  0.000  0.000  0.500 (multiplicity 3)
Fe  0.500  0.500  0.500 (multiplicity 1)
H  0.000  0.000  0.000 (multiplicity 1)

Calculated values
- energy (eV/cell) = -41.0
- total magnetization (μB/f.u.) = 0.9
- N(E_F) (states/eV per atom) = 1.464

## HfSc2In (GGA-PBEsol)

Data for a relaxed HfSc2In crystal.

Lattice parameters (Å, degrees): 3.1043 3.1043 32.7749 90.00 90.00 120.00
Space group R-3m (No. 166, hexagonal axes)
Unique sites:
Hf  0.0000  0.0000  0.0000 (multiplicity 3)
Sc  0.0000  0.0000  0.0905 (multiplicity 6)
In  0.0000  0.0000  0.5000 (multiplicity 3)

Calculated values
- energy (eV/cell) = -78.3
- E_form (meV per atom) = 148
- total magnetization (μB/f.u.) = 0.0
- N(E_F) (states/eV per atom) = 1.178

## La3YBi (GGA-PBEsol)

Data for a relaxed La3YBi crystal.

Lattice parameters (Å, degrees): 6.051 6.051 6.051 90.00 90.00 90.00
Space group Pm-3m (No. 221)
Unique sites:
La  0.000  0.000  0.500 (multiplicity 3)
Y  0.500  0.500  0.500 (multiplicity 1)
Bi  0.000  0.000  0.000 (multiplicity 1)

Calculated values
- energy (eV/cell) = -25.9
- E_form (meV per atom) = 239
- total magnetization (μB/f.u.) = 0.0
- N(E_F) (states/eV per atom) = 2.308

## RePb2Br (GGA-PBEsol)

Data for a relaxed RePb2Br crystal.

Lattice parameters (Å, degrees): 7.066 7.066 7.066 90.00 90.00 90.00
Space group F-43m (No. 216)
Unique sites:
Re  0.000  0.000  0.000 (multiplicity 4)
Pb  0.000  0.000  0.500 (multiplicity 4)
Pb  0.250  0.250  0.750 (multiplicity 4)
Br  0.250  0.250  0.250 (multiplicity 4)

Calculated values
- energy (eV/cell) = -76.0
- total magnetization (μB/f.u.) = 0.0
- uncorrected formation energy (eV per atom) = 1.052
- N(E_F) (states/eV per atom) = 0.633
- excess energy over the best structure of this formula in the dataset (meV per atom) = 468

## MnOsO2F (GGA-PBEsol)

Data for a relaxed MnOsO2F crystal.

Lattice parameters (Å, degrees): 3.818 3.818 3.828 90.00 90.00 90.00
Space group P4/mmm (No. 123)
Unique sites:
Mn  0.000  0.000  0.000 (multiplicity 1)
Os  0.500  0.500  0.500 (multiplicity 1)
O  0.000  0.500  0.000 (multiplicity 2)
F  0.000  0.000  0.500 (multiplicity 1)

Calculated values
- energy (eV/cell) = -34.6
- total magnetization (μB/f.u.) = 7.7
- uncorrected formation energy (eV per atom) = -0.040
- N(E_F) (states/eV per atom) = 0.762

## Tl3RhC (GGA-PBEsol)

Data for a relaxed Tl3RhC crystal.

Lattice parameters (Å, degrees): 4.686 4.686 4.686 90.00 90.00 90.00
Space group Pm-3m (No. 221)
Unique sites:
Tl  0.000  0.000  0.500 (multiplicity 3)
Rh  0.500  0.500  0.500 (multiplicity 1)
C  0.000  0.000  0.000 (multiplicity 1)

Calculated values
- energy (eV/cell) = -19.1
- E_form (meV per atom) = 1324
- total magnetization (μB/f.u.) = 0.0
- N(E_F) (states/eV per atom) = 0.768

## IrAu3N (GGA-PBEsol)

Data for a relaxed IrAu3N crystal.

Lattice parameters (Å, degrees): 4.207 4.207 4.207 90.00 90.00 90.00
Space group Pm-3m (No. 221)
Unique sites:
Ir  0.000  0.000  0.000 (multiplicity 1)
Au  0.000  0.500  0.500 (multiplicity 3)
N  0.500  0.500  0.500 (multiplicity 1)

Calculated values
- energy (eV/cell) = -24.9
- total magnetization (μB/f.u.) = 0.0
- uncorrected formation energy (eV per atom) = 1.053
- N(E_F) (states/eV per atom) = 0.796

## BaMgRu (GGA-PBEsol)

Data for a relaxed BaMgRu crystal.

Lattice parameters (Å, degrees): 6.875 6.875 6.875 90.00 90.00 90.00
Space group F-43m (No. 216)
Unique sites:
Ba  0.000  0.000  0.000 (multiplicity 4)
Mg  0.250  0.250  0.750 (multiplicity 4)
Ru  0.250  0.250  0.250 (multiplicity 4)

Calculated values
- energy (eV/cell) = -38.9
- E_form (meV per atom) = 1441
- total magnetization (μB/f.u.) = 0.0
- N(E_F) (states/eV per atom) = 1.011

## LiNdMo2O8 (GGA-PBEsol)

Data for a relaxed LiNdMo2O8 crystal.

Lattice parameters (Å, degrees): 4.992 5.871 10.888 90.00 111.03 90.00
Space group P2/c (No. 13)
Unique sites:
Li  0.000  0.209  0.250 (multiplicity 2)
Nd  0.500  0.285  0.750 (multiplicity 2)
Mo  0.266  0.183  0.027 (multiplicity 4)
O  0.123  0.106  0.594 (multiplicity 4)
O  0.214  0.366  0.144 (multiplicity 4)
O  0.303  0.373  0.909 (multiplicity 4)
O  0.377  0.070  0.380 (multiplicity 4)

Calculated values
- energy (eV/cell) = -203.0
- total magnetization (μB/f.u.) = 0.0
- uncorrected formation energy (eV per atom) = -2.402
- N(E_F) (states/eV per atom) = 0.000
- excess energy over the best structure of this formula in the dataset (meV per atom) = 9

## Ta11W5 (GGA-PBEsol)

Data for a relaxed Ta11W5 crystal.

Lattice parameters (Å, degrees): 6.466 6.449 6.476 90.00 90.13 90.00
Space group Pm (No. 6)
Unique sites:
Ta  0.000  0.000  0.000 (multiplicity 1)
Ta  0.000  0.000  0.492 (multiplicity 1)
Ta  0.000  0.500  0.490 (multiplicity 1)
Ta  0.256  0.252  0.243 (multiplicity 2)
Ta  0.256  0.252  0.747 (multiplicity 2)
Ta  0.508  0.000  0.000 (multiplicity 1)
Ta  0.508  0.500  0.491 (multiplicity 1)
Ta  0.752  0.252  0.747 (multiplicity 2)
W  0.002  0.500  0.997 (multiplicity 1)
W  0.507  0.000  0.493 (multiplicity 1)
W  0.508  0.500  0.998 (multiplicity 1)
W  0.753  0.252  0.244 (multiplicity 2)

Calculated values
- energy (eV/cell) = -207.8
- E_form (meV per atom) = -45
- total magnetization (μB/f.u.) = 0.0
- N(E_F) (states/eV per atom) = 1.044

## KLiTe3 (GGA-PBEsol)

Data for a relaxed KLiTe3 crystal.

Lattice parameters (Å, degrees): 5.239 5.239 5.239 90.00 90.00 90.00
Space group Pm-3m (No. 221)
Unique sites:
K  0.000  0.000  0.000 (multiplicity 1)
Li  0.500  0.500  0.500 (multiplicity 1)
Te  0.000  0.500  0.500 (multiplicity 3)

Calculated values
- energy (eV/cell) = -15.1
- total magnetization (μB/f.u.) = 0.0
- uncorrected formation energy (eV per atom) = -0.293
- N(E_F) (states/eV per atom) = 0.759